Entry 1:
Material: Be2PdRhN
Method: DFT, PBE
State: relaxed

Its density of states at the Fermi level is 0.70 states/eV/atom. The spin magnetization comes out at 0.0 μB/f.u. The calculation puts the uncorrected formation energy at 3.4 eV per formula unit. The total energy is -4.99 eV/atom.

It has space group P4/mmm (No. 123), with a = 4.347 Å, b = 4.347 Å, c = 3.668 Å, α = 90.00°, β = 90.00° and γ = 90.00°. The distinct sites, in fractional coordinates, are Be at (0.000, 0.500, 0.000), Pd at (0.000, 0.000, 0.500), Rh at (0.500, 0.500, 0.000) and N at (0.500, 0.500, 0.500).


Entry 2:
Material: BaHfHS2
Method: DFT, PBE
State: relaxed

The relative energy among the computed polymorphs comes out at 0 meV/atom. Its density of states at the Fermi level is 0.53 states/eV/atom. The spin magnetization comes out at 0.0 μB/f.u. The total energy is -6.08 eV/atom.

It has space group P4/mmm (No. 123), with a = 5.064 Å, b = 5.064 Å, c = 4.073 Å, α = 90.00°, β = 90.00° and γ = 90.00°. The distinct sites, in fractional coordinates, are Ba at (0.000, 0.000, 0.000), Hf at (0.500, 0.500, 0.500), H at (0.500, 0.500, 0.000) and S at (0.000, 0.500, 0.500).


Entry 3:
Material: VTeRh3
Method: DFT, PBE
State: relaxed

Its density of states at the Fermi level is 0.71 states/eV/atom. The spin magnetization comes out at 0.0 μB/f.u. The calculation puts the uncorrected formation energy at 2.9 eV per formula unit. The total energy is -6.28 eV/atom.

It has space group Pm-3m (No. 221), with a = 4.548 Å, b = 4.548 Å, c = 4.548 Å, α = 90.00°, β = 90.00° and γ = 90.00°. The distinct sites, in fractional coordinates, are V at (0.000, 0.000, 0.000), Te at (0.500, 0.500, 0.500) and Rh at (0.000, 0.000, 0.500).


Entry 4:
Material: ScGa2Cu
Method: DFT, PBE
State: relaxed

Its density of states at the Fermi level is 0.14 states/eV/atom. The spin magnetization comes out at 0.0 μB/f.u. For the formation energy, the calculation gives -301 meV per atom. The total energy is -4.42 eV/atom.

It has space group Fm-3m (No. 225), with a = 6.398 Å, b = 6.398 Å, c = 6.398 Å, α = 90.00°, β = 90.00° and γ = 90.00°. The distinct sites, in fractional coordinates, are Sc at (0.000, 0.000, 0.000), Ga at (0.250, 0.250, 0.250) and Cu at (0.000, 0.000, 0.500).


Entry 5:
Material: Er8Sb2C
Method: DFT, PBE
State: relaxed

Its density of states at the Fermi level is 1.13 states/eV/atom. The spin magnetization comes out at 0.0 μB/f.u. The calculation puts the uncorrected formation energy at -2.7 eV per formula unit. The total energy is -5.15 eV/atom.

It has space group C2/m (No. 12), with a = 17.680 Å, b = 5.322 Å, c = 6.291 Å, α = 90.00°, β = 108.36° and γ = 90.00°. The distinct sites, in fractional coordinates, are Er at (0.009, 0.000, 0.249), Er at (0.080, 0.500, 0.757), Er at (0.126, 0.500, 0.289), Er at (0.216, 0.000, 0.139), Sb at (0.175, 0.000, 0.621) and C at (0.000, 0.500, 0.000).


Entry 6:
Material: TmMgNiAu
Method: DFT, PBE
State: relaxed

Its density of states at the Fermi level is 0.44 states/eV/atom. The spin magnetization comes out at 0.0 μB/f.u. For the formation energy, the calculation gives -516 meV per atom. The total energy is -4.30 eV/atom.

It has space group F-43m (No. 216), with a = 6.671 Å, b = 6.671 Å, c = 6.671 Å, α = 90.00°, β = 90.00° and γ = 90.00°. The distinct sites, in fractional coordinates, are Tm at (0.000, 0.000, 0.000), Mg at (0.000, 0.000, 0.500), Ni at (0.250, 0.250, 0.750) and Au at (0.250, 0.250, 0.250).


Entry 7:
Material: DyZnAg
Method: DFT, PBE
State: relaxed

Its density of states at the Fermi level is 0.75 states/eV/atom. The spin magnetization comes out at 0.0 μB/f.u. For the formation energy, the calculation gives -321 meV per atom. The total energy is -3.23 eV/atom.

It has space group P-6m2 (No. 187), with a = 4.6442 Å, b = 4.6442 Å, c = 3.3781 Å, α = 90.00°, β = 90.00° and γ = 120.00°. The distinct sites, in fractional coordinates, are Dy at (0.0000, 0.0000, 0.0000), Zn at (0.6667, 0.3333, 0.5000) and Ag at (0.3333, 0.6667, 0.5000).


- Which of these has the lowest total energy?
  VTeRh3


- Look up the total energy of the second one.
  -6.08 eV/atom


- What is the spin magnetization in the fifth record?
  0.0 μB/f.u.